Entry 1:
Below is an optimized crystal structure of Cs2TlPb2, with properties calculated at the GGA-PBE level.

Magnetization = 0.00 μB per cell
ΔE to the lowest computed polymorph = 240 meV per atom
Formation energy = 0.51 eV/f.u.

Structure (CIF):
```
data_Cs2TlPb2
_cell_length_a 11.4263
_cell_length_b 11.4263
_cell_length_c 3.6250
_cell_angle_alpha 90.00
_cell_angle_beta 90.00
_cell_angle_gamma 90.00
_space_group_name_H-M_alt 'P 4/m b m'
_space_group_IT_number 127
_space_group_name_Hall '-P 4 2ab'
loop_
_atom_site_label
_atom_site_type_symbol
_atom_site_fract_x
_atom_site_fract_y
_atom_site_fract_z
Cs1 Cs 0.2011 0.2989 0.0000
Tl1 Tl 0.0000 0.0000 0.0000
Pb1 Pb 0.0939 0.5939 0.5000
```

Entry 2:
Below is an optimized crystal structure of CoPdIN2, with properties calculated at the GGA-PBE level.

Magnetization = 3.47 μB per cell
ΔE to the lowest computed polymorph = 548 meV per atom
Energy relative to the elements, uncorrected = 1.641 eV/atom

Structure (CIF):
```
data_CoPdIN2
_cell_length_a 3.8073
_cell_length_b 3.8073
_cell_length_c 8.0616
_cell_angle_alpha 90.00
_cell_angle_beta 90.00
_cell_angle_gamma 90.00
_space_group_name_H-M_alt 'P 4/m m m'
_space_group_IT_number 123
_space_group_name_Hall '-P 4 2'
loop_
_atom_site_label
_atom_site_type_symbol
_atom_site_fract_x
_atom_site_fract_y
_atom_site_fract_z
Co1 Co 0.0000 0.0000 0.0000
Pd1 Pd 0.5000 0.5000 0.5000
I1 I 0.5000 0.5000 0.0000
N1 N 0.0000 0.5000 0.5000
```

Entry 3:
Below is an optimized crystal structure of AuNF3, with properties calculated at the GGA-PBE level.

Magnetization = 2.91 μB per cell
ΔE to the lowest computed polymorph = 0 meV per atom
Energy relative to the elements, uncorrected = 0.321 eV/atom

Structure (CIF):
```
data_AuNF3
_cell_length_a 4.2409
_cell_length_b 4.2409
_cell_length_c 4.2409
_cell_angle_alpha 90.00
_cell_angle_beta 90.00
_cell_angle_gamma 90.00
_space_group_name_H-M_alt 'P m -3 m'
_space_group_IT_number 221
_space_group_name_Hall '-P 4 2 3'
loop_
_atom_site_label
_atom_site_type_symbol
_atom_site_fract_x
_atom_site_fract_y
_atom_site_fract_z
Au1 Au 0.0000 0.0000 0.0000
N1 N 0.5000 0.5000 0.5000
F1 F 0.0000 0.0000 0.5000
```

Entry 4:
Below is an optimized crystal structure of LuZrPa2, with properties calculated at the GGA-PBE level.

Magnetization = 0.03 μB per cell
ΔE to the lowest computed polymorph = 216 meV per atom
Formation energy = 1.54 eV/f.u.

Structure (CIF):
```
data_LuZrPa2
_cell_length_a 7.4406
_cell_length_b 7.4406
_cell_length_c 7.4406
_cell_angle_alpha 90.00
_cell_angle_beta 90.00
_cell_angle_gamma 90.00
_space_group_name_H-M_alt 'F m -3 m'
_space_group_IT_number 225
_space_group_name_Hall '-F 4 2 3'
loop_
_atom_site_label
_atom_site_type_symbol
_atom_site_fract_x
_atom_site_fract_y
_atom_site_fract_z
Lu1 Lu 0.0000 0.0000 0.0000
Zr1 Zr 0.0000 0.0000 0.5000
Pa1 Pa 0.2500 0.2500 0.2500
```

Entry 5:
Below is an optimized crystal structure of Ba4As, with properties calculated at the GGA-PBE level.

Magnetization = 0.00 μB per cell
ΔE to the lowest computed polymorph = 0 meV per atom
Formation energy = -2.34 eV/f.u.

Structure (CIF):
```
data_Ba4As
_cell_length_a 11.0075
_cell_length_b 11.0075
_cell_length_c 4.2336
_cell_angle_alpha 90.00
_cell_angle_beta 90.00
_cell_angle_gamma 90.00
_space_group_name_H-M_alt 'I 4/m'
_space_group_IT_number 87
_space_group_name_Hall '-I 4'
loop_
_atom_site_label
_atom_site_type_symbol
_atom_site_fract_x
_atom_site_fract_y
_atom_site_fract_z
Ba1 Ba 0.0538 0.7638 0.0000
As1 As 0.0000 0.0000 0.5000
```

Entry 6:
Below is an optimized crystal structure of Sn2HPd8, with properties calculated at the GGA-PBE level.

Magnetization = 0.00 μB per cell
ΔE to the lowest computed polymorph = 275 meV per atom

Structure (CIF):
```
data_Sn2HPd8
_cell_length_a 8.0737
_cell_length_b 8.5127
_cell_length_c 5.6031
_cell_angle_alpha 90.00
_cell_angle_beta 90.00
_cell_angle_gamma 90.00
_space_group_name_H-M_alt 'C m m m'
_space_group_IT_number 65
_space_group_name_Hall '-C 2 2'
loop_
_atom_site_label
_atom_site_type_symbol
_atom_site_fract_x
_atom_site_fract_y
_atom_site_fract_z
Sn1 Sn 0.0000 0.2266 0.0000
H1 H 0.0000 0.0000 0.5000
Pd1 Pd 0.0000 0.2355 0.5000
Pd2 Pd 0.0000 0.5000 0.2488
Pd3 Pd 0.1749 0.0000 0.2493
```

Entry 7:
Below is an optimized crystal structure of AgHgPd3, with properties calculated at the GGA-PBE level.

Magnetization = 0.00 μB per cell
ΔE to the lowest computed polymorph = 0 meV per atom
Formation energy = -0.47 eV/f.u.

Structure (CIF):
```
data_AgHgPd3
_cell_length_a 14.5699
_cell_length_b 4.0905
_cell_length_c 5.7592
_cell_angle_alpha 90.00
_cell_angle_beta 100.79
_cell_angle_gamma 90.00
_space_group_name_H-M_alt 'C 1 m 1'
_space_group_IT_number 8
_space_group_name_Hall 'C -2y'
loop_
_atom_site_label
_atom_site_type_symbol
_atom_site_fract_x
_atom_site_fract_y
_atom_site_fract_z
Ag1 Ag 0.0000 0.0000 0.0000
Ag2 Ag 0.0032 0.0000 0.4939
Hg1 Hg 0.1060 0.5000 0.8004
Hg2 Hg 0.3019 0.5000 0.3988
Pd1 Pd 0.1021 0.5000 0.2961
Pd2 Pd 0.2034 0.0000 0.0998
Pd3 Pd 0.2037 0.0000 0.5988
Pd4 Pd 0.3037 0.5000 0.9006
Pd5 Pd 0.4024 0.0000 0.1971
Pd6 Pd 0.4024 0.0000 0.7016
```

Entry 8:
Below is an optimized crystal structure of AuC2S, with properties calculated at the GGA-PBE level.

Magnetization = 0.00 μB per cell
ΔE to the lowest computed polymorph = 1164 meV per atom
Energy relative to the elements, uncorrected = 2.728 eV/atom

Structure (CIF):
```
data_AuC2S
_cell_length_a 5.7645
_cell_length_b 5.7645
_cell_length_c 5.7645
_cell_angle_alpha 90.00
_cell_angle_beta 90.00
_cell_angle_gamma 90.00
_space_group_name_H-M_alt 'F m -3 m'
_space_group_IT_number 225
_space_group_name_Hall '-F 4 2 3'
loop_
_atom_site_label
_atom_site_type_symbol
_atom_site_fract_x
_atom_site_fract_y
_atom_site_fract_z
Au1 Au 0.0000 0.0000 0.0000
C1 C 0.2500 0.2500 0.2500
S1 S 0.0000 0.0000 0.5000
```

Entry 9:
Below is an optimized crystal structure of AcNdTlSn, with properties calculated at the GGA-PBE level.

Magnetization = 0.05 μB per cell
ΔE to the lowest computed polymorph = 0 meV per atom
Formation energy = -2.17 eV/f.u.

Structure (CIF):
```
data_AcNdTlSn
_cell_length_a 4.5438
_cell_length_b 4.8382
_cell_length_c 12.2582
_cell_angle_alpha 90.00
_cell_angle_beta 90.00
_cell_angle_gamma 90.00
_space_group_name_H-M_alt 'A m m 2'
_space_group_IT_number 38
_space_group_name_Hall 'A 2 -2'
loop_
_atom_site_label
_atom_site_type_symbol
_atom_site_fract_x
_atom_site_fract_y
_atom_site_fract_z
Ac1 Ac 0.0000 0.0000 0.0000
Nd1 Nd 0.5000 0.0000 0.7249
Tl1 Tl 0.5000 0.0000 0.4423
Sn1 Sn 0.0000 0.0000 0.2745
```

Entry 10:
Below is an optimized crystal structure of La2TbCdSe5, with properties calculated at the GGA-PBE level.

Magnetization = 0.00 μB per cell
Energy relative to the elements, uncorrected = -1.640 eV/atom

Structure (CIF):
```
data_La2TbCdSe5
_cell_length_a 4.1718
_cell_length_b 17.9047
_cell_length_c 12.7965
_cell_angle_alpha 90.00
_cell_angle_beta 90.00
_cell_angle_gamma 90.00
_space_group_name_H-M_alt 'C m c 21'
_space_group_IT_number 36
_space_group_name_Hall 'C 2c -2'
loop_
_atom_site_label
_atom_site_type_symbol
_atom_site_fract_x
_atom_site_fract_y
_atom_site_fract_z
La1 La 0.0000 0.1159 0.0000
La2 La 0.0000 0.1334 0.6232
Tb1 Tb 0.0000 0.2025 0.3261
Cd1 Cd 0.0000 0.4569 0.7695
Se1 Se 0.0000 0.0479 0.3896
Se2 Se 0.0000 0.2876 0.9827
Se3 Se 0.0000 0.3109 0.6676
Se4 Se 0.0000 0.3608 0.3162
Se5 Se 0.0000 0.4936 0.0814
```

Entry 11:
Below is an optimized crystal structure of DyPu2Ga, with properties calculated at the GGA-PBE level.

Magnetization = 12.16 μB per cell
ΔE to the lowest computed polymorph = 130 meV per atom
Formation energy = -0.15 eV/f.u.

Structure (CIF):
```
data_DyPu2Ga
_cell_length_a 3.9738
_cell_length_b 3.9738
_cell_length_c 6.4031
_cell_angle_alpha 90.00
_cell_angle_beta 90.00
_cell_angle_gamma 90.00
_space_group_name_H-M_alt 'P 4/m m m'
_space_group_IT_number 123
_space_group_name_Hall '-P 4 2'
loop_
_atom_site_label
_atom_site_type_symbol
_atom_site_fract_x
_atom_site_fract_y
_atom_site_fract_z
Dy1 Dy 0.0000 0.0000 0.0000
Pu1 Pu 0.5000 0.5000 0.2775
Ga1 Ga 0.0000 0.0000 0.5000
```

Entry 12:
Below is an optimized crystal structure of MnGe2Ru, with properties calculated at the GGA-PBE level.

Magnetization = 2.17 μB per cell
ΔE to the lowest computed polymorph = 26 meV per atom
Formation energy = -0.17 eV/f.u.

Structure (CIF):
```
data_MnGe2Ru
_cell_length_a 5.9760
_cell_length_b 5.9760
_cell_length_c 5.9760
_cell_angle_alpha 90.00
_cell_angle_beta 90.00
_cell_angle_gamma 90.00
_space_group_name_H-M_alt 'F m -3 m'
_space_group_IT_number 225
_space_group_name_Hall '-F 4 2 3'
loop_
_atom_site_label
_atom_site_type_symbol
_atom_site_fract_x
_atom_site_fract_y
_atom_site_fract_z
Mn1 Mn 0.0000 0.0000 0.0000
Ge1 Ge 0.2500 0.2500 0.2500
Ru1 Ru 0.0000 0.0000 0.5000
```

Entry 13:
Below is an optimized crystal structure of BaHg2Pd, with properties calculated at the GGA-PBE level.

Magnetization = 0.00 μB per cell
Formation energy = -1.14 eV/f.u.

Structure (CIF):
```
data_BaHg2Pd
_cell_length_a 5.2269
_cell_length_b 5.2269
_cell_length_c 19.3391
_cell_angle_alpha 90.00
_cell_angle_beta 90.00
_cell_angle_gamma 90.00
_space_group_name_H-M_alt 'I -4 2 d'
_space_group_IT_number 122
_space_group_name_Hall 'I -4 2bw'
loop_
_atom_site_label
_atom_site_type_symbol
_atom_site_fract_x
_atom_site_fract_y
_atom_site_fract_z
Ba1 Ba 0.0000 0.0000 0.0000
Hg1 Hg 0.1047 0.2500 0.6250
Pd1 Pd 0.0000 0.0000 0.5000
```

| no. | volume (Å³/atom) |
| --- | --- |
| 1 | 47.327 |
| 2 | 23.372 |
| 3 | 15.254 |
| 4 | 25.746 |
| 5 | 51.296 |
| 6 | 17.504 |
| 7 | 16.859 |
| 8 | 11.972 |
| 9 | 33.685 |
| 10 | 26.551 |
| 11 | 25.278 |
| 12 | 13.339 |
| 13 | 33.022 |